4
Lattice="8.4399 0.0558 -0.0071 6.6558 5.1900 0.0071 -7.4470 -2.9132 2.7003" Properties=species:S:1:pos:R:3 comment="PBE BaZr2Si, optimized geometry" magnetic_moment_mub_per_fu=0.6 crystal_system=orthorhombic formation_energy_uncorrected_ev_per_atom=0.103 pbc="T T T"
Ba 6.4247 2.2326 0.0000
Si 3.1387 2.3665 1.3537
Zr 1.5203 0.5283 0.0000
Zr 4.1130 -0.1720 1.3466